# PaAgSe, optimized geometry, DFT PBE
# formation energy (no corrections): -0.585 eV/atom
# DFT total energy: -0.4309 Ry/atom
# space group: P4/nmm
data_PaAgSe
_symmetry_space_group_name_H-M 'P 1'
_symmetry_Int_Tables_number 1
_cell_length_a 3.9882
_cell_length_b 3.9882
_cell_length_c 8.7689
_cell_angle_alpha 90.00
_cell_angle_beta 90.00
_cell_angle_gamma 90.00
loop_
_symmetry_equiv_pos_as_xyz
'x,y,z'
loop_
_atom_site_label
_atom_site_fract_x
_atom_site_fract_y
_atom_site_fract_z
Ag1 0.0000 0.5000 0.5248
Ag2 0.5000 0.0000 0.4752
Pa1 0.0000 0.5000 0.1679
Pa2 0.5000 0.0000 0.8321
Se1 0.5000 0.0000 0.1652
Se2 0.0000 0.5000 0.8348